Run P
This record from Alexandria via LeMat-Bulk describes MgMnCu after structural relaxation. The functional is PBE.

Computed properties:
- size of the total moment (μB/atom) = 1.1570

Unit cell a=4.3701 b=4.3701 c=2.7132 alpha=90.00 beta=90.00 gamma=120.00
With the nearest neighbours (Å) after each atom.
Element x y z (fractional)
Cu  0.0000  0.0000  0.9857  3 Mn 2.63, 3 Mg 2.67, 2 Cu 2.71
Mg  0.6667  0.3333  0.3029  3 Cu 2.67, 2 Mg 2.71, 3 Mn 2.76
Mn  0.3333  0.6667  0.7114  3 Cu 2.63, 2 Mn 2.71, 3 Mg 2.76

***

Run Q
This record from Alexandria via LeMat-Bulk describes MgMnCu after structural relaxation. The functional is PBE.

Computed properties:
- size of the total moment (μB/atom) = 1.2111

Unit cell a=4.3404 b=9.8407 c=4.3029 alpha=90.00 beta=90.00 gamma=90.00
With the nearest neighbours (Å) after each atom.
Element x y z (fractional)
Mg  0.5000  0.6559  0.5000  4 Cu 2.64-2.66, 2 Mg 2.85, 2 Mn 2.89
Mg  0.0000  0.8441  0.5000  4 Cu 2.64-2.66, 2 Mg 2.85, 2 Mn 2.89
Mg  0.0000  0.1559  0.5000  4 Cu 2.64-2.66, 2 Mg 2.85, 2 Mn 2.89
Mg  0.5000  0.3441  0.5000  4 Cu 2.64-2.66, 2 Mg 2.85, 2 Mn 2.89
Mn  0.5000  0.8517  0.0000  4 Cu 2.60-2.62, 2 Mg 2.89
Mn  0.0000  0.6483  0.0000  4 Cu 2.60-2.62, 2 Mg 2.89
Mn  0.5000  0.1483  0.0000  4 Cu 2.60-2.62, 2 Mg 2.89
Mn  0.0000  0.3517  0.0000  4 Cu 2.60-2.62, 2 Mg 2.89
Cu  0.5000  0.0000  0.5000  4 Mn 2.60, 4 Mg 2.66
Cu  0.0000  0.5000  0.5000  4 Mn 2.60, 4 Mg 2.66
Cu  0.0000  0.0000  0.0000  4 Mn 2.62, 4 Mg 2.64
Cu  0.5000  0.5000  0.0000  4 Mn 2.62, 4 Mg 2.64

***

Tell me which of them is the least stable. Sure, it is run P.